The following is a PBE calculation of crystalline SnPtW at its relaxed geometry, from OQMD.

Lattice parameters (Å, degrees): 6.299 6.299 6.299 90.00 90.00 90.00
Fractional coordinates of all 12 atoms:
Sn 0.000 0.000 0.000
Sn 0.000 0.500 0.500
Sn 0.500 0.000 0.500
Sn 0.500 0.500 0.000
Pt 0.000 0.000 0.500
Pt 0.000 0.500 0.000
Pt 0.500 0.000 0.000
Pt 0.500 0.500 0.500
W 0.250 0.250 0.750
W 0.250 0.750 0.250
W 0.750 0.250 0.250
W 0.750 0.750 0.750

Results
Its theoretical density is 13.225 g/cm³. The value obtained for the total DFT energy (no corrections) is -86.03 eV/cell.

The following is a PBE calculation of crystalline GdY2Tm at its relaxed geometry, from OQMD.

Lattice parameters (Å, degrees): 5.639 7.247 12.554 90.00 90.00 90.00
Fractional coordinates of all 16 atoms:
Gd 0.000 0.000 0.000
Gd 0.000 0.500 0.500
Gd 0.500 0.000 0.333
Gd 0.500 0.500 0.833
Y 0.000 0.000 0.500
Y 0.000 0.500 0.000
Y 0.500 0.000 0.833
Y 0.500 0.250 0.084
Y 0.500 0.250 0.584
Y 0.500 0.500 0.333
Y 0.500 0.750 0.084
Y 0.500 0.750 0.584
Tm 0.000 0.250 0.249
Tm 0.000 0.250 0.749
Tm 0.000 0.750 0.249
Tm 0.000 0.750 0.749

Results
Its theoretical density is 6.525 g/cm³. The value obtained for the total DFT energy (no corrections) is -88.14 eV/cell. The value obtained for the calculated formation energy is 0.0 eV/f.u.

The following is a PBE calculation of crystalline CsNd4As3 at its relaxed geometry, from OQMD.

Lattice parameters (Å, degrees): 5.041 5.041 11.369 90.00 90.00 90.00
Fractional coordinates of all 8 atoms:
Cs 0.000 0.000 0.000
Nd 0.000 0.500 0.340
Nd 0.000 0.500 0.660
Nd 0.500 0.000 0.340
Nd 0.500 0.000 0.660
As 0.000 0.000 0.500
As 0.500 0.500 0.205
As 0.500 0.500 0.795

Results
Its theoretical density is 5.371 g/cm³. The value obtained for the total DFT energy (no corrections) is -40.41 eV/cell.

The following is a PBE calculation of crystalline GdEr3Pb2N2 at its relaxed geometry, from OQMD.

Lattice parameters (Å, degrees): 3.529 3.529 15.535 90.00 90.00 120.00
Fractional coordinates of all 8 atoms:
Gd 0.000 0.000 0.000
Er 0.000 0.000 0.666
Er 0.667 0.333 0.168
Er 0.667 0.333 0.501
Pb 0.000 0.000 0.335
Pb 0.667 0.333 0.831
N 0.333 0.667 0.089
N 0.333 0.667 0.583

Results
Its theoretical density is 10.916 g/cm³. The value obtained for the total DFT energy (no corrections) is -51.24 eV/cell.

The following is a PBE calculation of crystalline Tm3Mg3Ag2Hg at its relaxed geometry, from OQMD.

Lattice parameters (Å, degrees): 7.643 7.643 4.134 90.00 90.00 120.00
Fractional coordinates of all 9 atoms:
Tm 0.000 0.587 0.000
Tm 0.413 0.413 0.000
Tm 0.587 0.000 0.000
Mg 0.000 0.254 0.500
Mg 0.254 0.000 0.500
Mg 0.746 0.746 0.500
Ag 0.333 0.667 0.500
Ag 0.667 0.333 0.500
Hg 0.000 0.000 0.000

Results
Its theoretical density is 7.909 g/cm³. The value obtained for the total DFT energy (no corrections) is -26.68 eV/cell.

The following is a PBE calculation of crystalline SrAlMo at its relaxed geometry, from OQMD.

Lattice parameters (Å, degrees): 6.883 6.883 6.883 90.00 90.00 90.00
Fractional coordinates of all 12 atoms:
Sr 0.000 0.000 0.000
Sr 0.000 0.500 0.500
Sr 0.500 0.000 0.500
Sr 0.500 0.500 0.000
Al 0.250 0.250 0.750
Al 0.250 0.750 0.250
Al 0.750 0.250 0.250
Al 0.750 0.750 0.750
Mo 0.000 0.000 0.500
Mo 0.000 0.500 0.000
Mo 0.500 0.000 0.000
Mo 0.500 0.500 0.500

Results
Its theoretical density is 4.289 g/cm³. The value obtained for the total DFT energy (no corrections) is -53.43 eV/cell.

The following is a PBE calculation of crystalline NpGaGe at its relaxed geometry, from OQMD.

Lattice parameters (Å, degrees): 6.478 6.478 6.478 90.00 90.00 90.00
Fractional coordinates of all 12 atoms:
Np 0.000 0.000 0.000
Np 0.000 0.500 0.500
Np 0.500 0.000 0.500
Np 0.500 0.500 0.000
Ga 0.250 0.250 0.750
Ga 0.250 0.750 0.250
Ga 0.750 0.250 0.250
Ga 0.750 0.750 0.750
Ge 0.000 0.000 0.500
Ge 0.000 0.500 0.000
Ge 0.500 0.000 0.000
Ge 0.500 0.500 0.500

Results
Its theoretical density is 9.270 g/cm³. The value obtained for the total DFT energy (no corrections) is -79.85 eV/cell.

The following is a PBE calculation of crystalline K2Fe3Os2 at its relaxed geometry, from OQMD.

Lattice parameters (Å, degrees): 11.806 11.806 11.806 19.96 19.96 19.96
Fractional coordinates of all 7 atoms:
K 0.000 0.000 0.000
K 0.440 0.440 0.440
Fe 0.260 0.260 0.260
Fe 0.526 0.526 0.526
Fe 0.892 0.892 0.892
Os 0.192 0.192 0.192
Os 0.593 0.593 0.593

Results
Its theoretical density is 6.202 g/cm³. The value obtained for the total DFT energy (no corrections) is -45.41 eV/cell.

The following is a PBE calculation of crystalline YNbBi at its relaxed geometry, from OQMD.

Lattice parameters (Å, degrees): 7.219 7.219 7.219 90.00 90.00 90.00
Fractional coordinates of all 12 atoms:
Y 0.000 0.000 0.000
Y 0.000 0.500 0.500
Y 0.500 0.000 0.500
Y 0.500 0.500 0.000
Nb 0.250 0.250 0.250
Nb 0.250 0.750 0.750
Nb 0.750 0.250 0.750
Nb 0.750 0.750 0.250
Bi 0.250 0.250 0.750
Bi 0.250 0.750 0.250
Bi 0.750 0.250 0.250
Bi 0.750 0.750 0.750

Results
Its theoretical density is 6.899 g/cm³. The value obtained for the total DFT energy (no corrections) is -73.34 eV/cell.

The following is a PBE calculation of crystalline Zr6C5 at its relaxed geometry, from OQMD.

Lattice parameters (Å, degrees): 5.788 5.788 16.381 90.00 90.00 120.00
Fractional coordinates of all 33 atoms:
Zr 0.207 0.097 0.249
Zr 0.207 0.110 0.751
Zr 0.207 0.445 0.418
Zr 0.207 0.762 0.582
Zr 0.238 0.445 0.915
Zr 0.238 0.793 0.085
Zr 0.542 0.097 0.913
Zr 0.542 0.445 0.087
Zr 0.555 0.097 0.421
Zr 0.555 0.458 0.579
Zr 0.555 0.762 0.751
Zr 0.555 0.793 0.249
Zr 0.890 0.097 0.085
Zr 0.890 0.793 0.915
Zr 0.903 0.110 0.582
Zr 0.903 0.445 0.246
Zr 0.903 0.458 0.754
Zr 0.903 0.793 0.418
C 0.218 0.109 0.500
C 0.222 0.444 0.667
C 0.222 0.778 0.333
C 0.223 0.111 0.000
C 0.223 0.445 0.167
C 0.223 0.777 0.833
C 0.554 0.109 0.167
C 0.554 0.446 0.833
C 0.555 0.777 0.500
C 0.556 0.778 0.000
C 0.889 0.111 0.333
C 0.889 0.777 0.667
C 0.891 0.109 0.833
C 0.891 0.446 0.500
C 0.891 0.782 0.167

Results
Its theoretical density is 6.367 g/cm³. The value obtained for the total DFT energy (no corrections) is -318.65 eV/cell.

The following is a PBE calculation of crystalline RbTaCuTe3 at its relaxed geometry, from OQMD.

Lattice parameters (Å, degrees): 8.656 8.656 10.638 90.00 90.00 153.43
Fractional coordinates of all 12 atoms:
Rb 0.247 0.753 0.750
Rb 0.753 0.247 0.250
Ta 0.000 0.000 0.000
Ta 0.000 0.000 0.500
Cu 0.468 0.532 0.250
Cu 0.532 0.468 0.750
Te 0.067 0.933 0.250
Te 0.384 0.616 0.049
Te 0.384 0.616 0.451
Te 0.616 0.384 0.549
Te 0.616 0.384 0.951
Te 0.933 0.067 0.750

Results
Its theoretical density is 6.640 g/cm³. The value obtained for the total DFT energy (no corrections) is -56.66 eV/cell.

The following is a PBE calculation of crystalline La3Sn3Pd2Pt at its relaxed geometry, from OQMD.

Lattice parameters (Å, degrees): 7.714 7.714 4.218 90.00 90.00 120.00
Fractional coordinates of all 9 atoms:
La 0.000 0.414 0.000
La 0.414 0.000 0.000
La 0.586 0.586 0.000
Sn 0.000 0.752 0.500
Sn 0.248 0.248 0.500
Sn 0.752 0.000 0.500
Pd 0.333 0.667 0.500
Pd 0.667 0.333 0.500
Pt 0.000 0.000 0.000

Results
Its theoretical density is 9.019 g/cm³. The value obtained for the total DFT energy (no corrections) is -52.09 eV/cell.